[1]
Here is a geometry-optimized DyCdGeAu structure from Alexandria via LeMat-Bulk. Energies are from PBE.

Unit cell a=4.945 b=4.945 c=4.945 alpha=60.00 beta=60.00 gamma=60.00
Fractional coordinates of all 4 atoms:
Dy 0.000 0.000 0.000
Cd 0.500 0.500 0.500
Ge 0.750 0.750 0.750
Au 0.250 0.250 0.250

- Mass density: 10.58 g cm⁻³
- VASP energy: -3.8505 eV/atom
- SG: F-43m
- ΔE_f: -1.99 eV/f.u.
- Size of the total moment: 0.0 μB/cell
- V: 85.5 Å³/cell

---

[2]
Here is a geometry-optimized Sm3B2O6F3 structure from Alexandria via LeMat-Bulk. Energies are from PBE.

Unit cell a=7.205 b=7.205 c=8.376 alpha=96.57 beta=96.57 gamma=51.87
Fractional coordinates of all 28 atoms:
Sm 0.098 0.902 0.750
Sm 0.217 0.428 0.321
Sm 0.428 0.217 0.821
Sm 0.572 0.783 0.179
Sm 0.783 0.572 0.679
Sm 0.902 0.098 0.250
B 0.088 0.273 0.022
B 0.273 0.088 0.522
B 0.727 0.912 0.478
B 0.912 0.727 0.978
O 0.043 0.254 0.859
O 0.077 0.621 0.862
O 0.204 0.314 0.574
O 0.254 0.043 0.359
O 0.314 0.204 0.074
O 0.379 0.923 0.638
O 0.621 0.077 0.362
O 0.686 0.796 0.926
O 0.746 0.957 0.641
O 0.796 0.686 0.426
O 0.923 0.379 0.138
O 0.957 0.746 0.141
F 0.126 0.770 0.460
F 0.230 0.874 0.040
F 0.475 0.525 0.750
F 0.525 0.475 0.250
F 0.770 0.126 0.960
F 0.874 0.230 0.540

- Mass density: 6.13 g cm⁻³
- VASP energy: -7.8563 eV/atom
- SG: C2/c
- Size of the total moment: 0.0 μB/cell
- V: 339.2 Å³/cell
- Raw formation energy: -47.113 eV/f.u.

---

[3]
Here is a geometry-optimized Nd3Al3CoHg2 structure from Alexandria via LeMat-Bulk. Energies are from PBE.

Unit cell a=7.446 b=7.446 c=4.302 alpha=90.00 beta=90.00 gamma=120.00
Fractional coordinates of all 9 atoms:
Nd 0.000 0.616 0.000
Nd 0.384 0.384 0.000
Nd 0.616 0.000 0.000
Al 0.000 0.212 0.500
Al 0.212 0.000 0.500
Al 0.788 0.788 0.500
Co 0.000 0.000 0.000
Hg 0.333 0.667 0.500
Hg 0.667 0.333 0.500

- Mass density: 7.83 g cm⁻³
- VASP energy: -4.1238 eV/atom
- SG: P-62m
- ΔE_f: -3.87 eV/f.u.
- Size of the total moment: 0.0 μB/cell
- V: 206.6 Å³/cell

---

[4]
Here is a geometry-optimized BaBr structure from Alexandria via LeMat-Bulk. Energies are from PBE.

Unit cell a=8.391 b=8.391 c=8.952 alpha=121.49 beta=121.49 gamma=30.07
Fractional coordinates of all 6 atoms:
Ba 0.000 0.000 0.000
Ba 0.632 0.632 0.514
Ba 0.815 0.815 0.185
Br 0.234 0.234 0.360
Br 0.306 0.306 0.864
Br 0.585 0.585 0.835

- Mass density: 4.07 g cm⁻³
- VASP energy: -3.3050 eV/atom
- SG: Cm
- Size of the total moment: 0.6 μB/cell
- V: 265.6 Å³/cell
- Raw formation energy: -3.014 eV/f.u.

---

[5]
Here is a geometry-optimized TlCdPd3 structure from Alexandria via LeMat-Bulk. Energies are from PBE.

Unit cell a=8.230 b=8.230 c=4.740 alpha=90.00 beta=90.00 gamma=146.55
Fractional coordinates of all 10 atoms:
Tl 0.145 0.855 0.750
Tl 0.855 0.145 0.250
Cd 0.356 0.644 0.750
Cd 0.644 0.356 0.250
Pd 0.051 0.949 0.250
Pd 0.250 0.750 0.250
Pd 0.450 0.550 0.250
Pd 0.550 0.450 0.750
Pd 0.750 0.250 0.750
Pd 0.949 0.051 0.750

- Energy relative to the lowest polymorph listed for this composition: 0 meV per atom
- Mass density: 11.94 g cm⁻³
- VASP energy: -4.0099 eV/atom
- SG: Cmcm
- ΔE_f: -1.19 eV/f.u.
- Size of the total moment: 0.0 μB/cell
- V: 177.0 Å³/cell

---

[6]
Here is a geometry-optimized Tb2MnBePt6 structure from Alexandria via LeMat-Bulk. Energies are from PBE.

Unit cell a=7.512 b=7.512 c=7.512 alpha=44.04 beta=44.04 gamma=44.04
Fractional coordinates of all 10 atoms:
Tb 0.208 0.208 0.208
Tb 0.792 0.792 0.792
Mn 0.500 0.500 0.500
Be 0.000 0.000 0.000
Pt 0.240 0.240 0.731
Pt 0.240 0.731 0.240
Pt 0.269 0.760 0.760
Pt 0.731 0.240 0.240
Pt 0.760 0.269 0.760
Pt 0.760 0.760 0.269

- Mass density: 13.85 g cm⁻³
- VASP energy: -6.5863 eV/atom
- SG: R-3m
- ΔE_f: -7.46 eV/f.u.
- Size of the total moment: 4.2 μB/cell
- V: 186.1 Å³/cell

---

Which formula does entry 2 have?
Sm3B2O6F3